No. 1
Computed, not measured: Rb2SrHg6 after structural relaxation at the PBE-GGA level of DFT.

Formation energy in eV per atom: -0.295
Crystal system: hexagonal

a = 4.0554 Å, b = 9.3397 Å, c = 9.3397 Å
α = 120.00°, β = 90.00°, γ = 90.00°
Closest atoms and distances in Å follow each position.
Sites, in units of the cell vectors:
Rb  0.0000  0.3333  0.6667  12 Hg 3.73, 2 Rb 4.06
Rb  0.0000  0.6667  0.3333  12 Hg 3.73, 2 Rb 4.06
Sr  0.0000  0.0000  0.0000  12 Hg 3.68, 2 Sr 4.06
Hg  0.5000  0.3290  0.3290  3 Hg 3.07-3.19
Hg  0.5000  0.6710  0.6710  3 Hg 3.07-3.19
Hg  0.5000  0.0000  0.6710  3 Hg 3.07-3.19
Hg  0.5000  0.6710  0.0000  3 Hg 3.07-3.19
Hg  0.5000  0.3290  0.0000  3 Hg 3.07-3.19
Hg  0.5000  0.0000  0.3290  3 Hg 3.07-3.19


No. 2
Computed, not measured: TlCoPb4 after structural relaxation at the PBE-GGA level of DFT.

Formation energy in eV per atom: 0.628
Crystal system: cubic

a = 6.4309 Å, b = 6.4309 Å, c = 6.4309 Å
α = 60.00°, β = 60.00°, γ = 60.00°
Closest atoms and distances in Å follow each position.
Sites, in units of the cell vectors:
Tl  0.7500  0.7500  0.7500  12 Pb 3.77, 4 Co 3.94
Co  0.0000  0.0000  0.0000  12 Pb 3.77, 4 Tl 3.94
Pb  0.8769  0.3744  0.3744  6 Pb 3.20-3.23
Pb  0.3744  0.3744  0.8769  6 Pb 3.20-3.23
Pb  0.3744  0.8769  0.3744  6 Pb 3.20-3.23
Pb  0.3744  0.3744  0.3744  6 Pb 3.20-3.23


No. 3
Computed, not measured: Ho4Pa3N8 after structural relaxation at the PBE-GGA level of DFT.

Crystal system: monoclinic
Raw formation energy in kcal/mol of atoms: -34.937

a = 6.8720 Å, b = 6.9709 Å, c = 6.9709 Å
α = 89.26°, β = 120.76°, γ = 120.76°
Closest atoms and distances in Å follow each position.
Sites, in units of the cell vectors:
Ho  0.5000  0.0000  0.0000  6 N 2.43-2.56
Ho  0.0000  0.5000  0.0000  6 N 2.39-2.48
Ho  0.0000  0.0000  0.0000  6 N 2.31-2.35
Ho  0.0000  0.0000  0.5000  6 N 2.39-2.48
Pa  0.5000  0.5000  0.0000  6 N 2.39-2.48
Pa  0.5000  0.0000  0.5000  6 N 2.39-2.48
Pa  0.5000  0.5000  0.5000  6 N 2.22-2.48
N  0.4827  0.2411  0.2411  2 Ho 2.31-2.48, 3 Pa 2.45-2.48
N  0.0000  0.7611  0.2389  3 Ho 2.34-2.48, 2 Pa 2.39
N  0.0358  0.2545  0.2545  1 Pa 2.22, 3 Ho 2.35-2.46
N  0.5000  0.7522  0.2478  3 Ho 2.39-2.43, 3 Pa 2.47-2.48
N  0.5000  0.2478  0.7522  3 Ho 2.39-2.43, 3 Pa 2.47-2.48
N  0.9642  0.7455  0.7455  1 Pa 2.22, 3 Ho 2.35-2.46
N  0.0000  0.2389  0.7611  3 Ho 2.34-2.48, 2 Pa 2.39
N  0.5173  0.7589  0.7589  2 Ho 2.31-2.48, 3 Pa 2.45-2.48


No. 4
Computed, not measured: Be2Nb2AlNi5 after structural relaxation at the PBE-GGA level of DFT.

Formation energy in eV per atom: -0.345
Crystal system: tetragonal

a = 2.7828 Å, b = 9.2106 Å, c = 9.2106 Å
α = 90.00°, β = 90.00°, γ = 90.00°
Closest atoms and distances in Å follow each position.
Sites, in units of the cell vectors:
Be  0.0000  0.1223  0.6223  6 Ni 2.12-2.18
Be  0.0000  0.8777  0.3777  6 Ni 2.12-2.18
Be  0.0000  0.6223  0.8777  6 Ni 2.12-2.18
Be  0.0000  0.3777  0.1223  6 Ni 2.12-2.18
Nb  0.0000  0.6797  0.1797  3 Be 2.58-2.83, 10 Ni 2.72-2.83, 2 Nb 2.78
Nb  0.0000  0.3203  0.8203  3 Be 2.58-2.83, 10 Ni 2.72-2.83, 2 Nb 2.78
Nb  0.0000  0.1797  0.3203  3 Be 2.58-2.83, 10 Ni 2.72-2.83, 2 Nb 2.78
Nb  0.0000  0.8203  0.6797  3 Be 2.58-2.83, 10 Ni 2.72-2.83, 2 Nb 2.78
Al  0.0000  0.0000  0.0000  8 Ni 2.43
Al  0.0000  0.5000  0.5000  8 Ni 2.43
Ni  0.5000  0.2089  0.0549  2 Be 2.18, 2 Al 2.43
Ni  0.5000  0.7911  0.9451  2 Be 2.18, 2 Al 2.43
Ni  0.5000  0.0549  0.7911  2 Be 2.18, 2 Al 2.43
Ni  0.5000  0.7089  0.4451  2 Be 2.18, 2 Al 2.43
Ni  0.5000  0.9451  0.2089  2 Be 2.18, 2 Al 2.43
Ni  0.5000  0.2911  0.5549  2 Be 2.18, 2 Al 2.43
Ni  0.5000  0.5549  0.7089  2 Be 2.18, 2 Al 2.43
Ni  0.5000  0.4451  0.2911  2 Be 2.18, 2 Al 2.43
Ni  0.5000  0.5000  0.0000  4 Be 2.12
Ni  0.5000  0.0000  0.5000  4 Be 2.12


No. 5
Computed, not measured: YZrBe3 after structural relaxation at the PBE-GGA level of DFT.

Formation energy in eV per atom: 0.952
Crystal system: cubic
E above lowest polymorph in eV per atom: 0.0000

a = 4.6251 Å, b = 4.6251 Å, c = 4.6251 Å
α = 90.00°, β = 90.00°, γ = 90.00°
Closest atoms and distances in Å follow each position.
Sites, in units of the cell vectors:
Y  0.5000  0.5000  0.5000  12 Be 3.27
Be  0.0000  0.5000  0.0000  2 Zr 2.31
Be  0.0000  0.0000  0.5000  2 Zr 2.31
Be  0.5000  0.0000  0.0000  2 Zr 2.31
Zr  0.0000  0.0000  0.0000  6 Be 2.31


No. 6
Computed, not measured: BaSr2As after structural relaxation at the PBE-GGA level of DFT.

Formation energy in eV per atom: -0.526
Crystal system: orthorhombic

a = 4.0210 Å, b = 4.0211 Å, c = 10.4834 Å
α = 90.00°, β = 90.00°, γ = 90.11°
Closest atoms and distances in Å follow each position.
Sites, in units of the cell vectors:
Sr  0.0000  0.0000  0.0947  1 Sr 3.26, 4 As 3.27-3.28
Sr  0.0000  0.0000  0.4053  1 Sr 3.26, 4 As 3.27-3.28
As  0.5000  0.5000  0.2500  8 Sr 3.27-3.28
Ba  0.5000  0.5000  0.7500  4 Ba 4.02


No. 7
Computed, not measured: MgZr3Cd3 after structural relaxation at the PBE-GGA level of DFT.

Formation energy in eV per atom: -0.074
Crystal system: monoclinic

a = 4.3566 Å, b = 7.1376 Å, c = 11.5373 Å
α = 119.81°, β = 90.00°, γ = 90.00°
Closest atoms and distances in Å follow each position.
Sites, in units of the cell vectors:
Mg  0.7500  0.3936  0.6688  8 Cd 3.08-3.18, 4 Zr 3.19-3.25
Mg  0.2500  0.6064  0.3312  8 Cd 3.08-3.18, 4 Zr 3.19-3.25
Zr  0.7500  0.8219  0.9632  8 Zr 3.13-3.23, 3 Cd 3.14-3.25, 1 Mg 3.25
Zr  0.7500  0.2347  0.2467  5 Zr 3.08-3.13, 5 Cd 3.12-3.30, 2 Mg 3.19
Zr  0.7500  0.1086  0.8178  5 Zr 3.08-3.23, 6 Cd 3.12-3.26, 1 Mg 3.25
Zr  0.2500  0.1781  0.0368  8 Zr 3.13-3.23, 3 Cd 3.14-3.25, 1 Mg 3.25
Zr  0.2500  0.7653  0.7533  5 Zr 3.08-3.13, 5 Cd 3.12-3.30, 2 Mg 3.19
Zr  0.2500  0.8914  0.1822  5 Zr 3.08-3.23, 6 Cd 3.12-3.26, 1 Mg 3.25
Cd  0.7500  0.9582  0.3968  6 Cd 3.06-3.17, 3 Mg 3.12-3.13, 3 Zr 3.15-3.21
Cd  0.7500  0.5378  0.1128  7 Zr 3.12-3.26, 3 Cd 3.16-3.23, 2 Mg 3.18
Cd  0.7500  0.6809  0.5396  3 Mg 3.08-3.09, 4 Zr 3.12-3.30, 5 Cd 3.14-3.17
Cd  0.2500  0.0418  0.6032  6 Cd 3.06-3.17, 3 Mg 3.12-3.13, 3 Zr 3.15-3.21
Cd  0.2500  0.4622  0.8872  7 Zr 3.12-3.26, 3 Cd 3.16-3.23, 2 Mg 3.18
Cd  0.2500  0.3191  0.4604  3 Mg 3.08-3.09, 4 Zr 3.12-3.30, 5 Cd 3.14-3.17


No. 8
Computed, not measured: SrGaPb4 after structural relaxation at the PBE-GGA level of DFT.

Formation energy in eV per atom: -0.074
Crystal system: cubic

a = 6.5526 Å, b = 6.5526 Å, c = 6.5526 Å
α = 60.00°, β = 60.00°, γ = 60.00°
Closest atoms and distances in Å follow each position.
Sites, in units of the cell vectors:
Pb  0.6249  0.6249  0.1253  6 Pb 3.27-3.28
Pb  0.6249  0.1253  0.6249  6 Pb 3.27-3.28
Pb  0.6249  0.6249  0.6249  6 Pb 3.27-3.28
Pb  0.1253  0.6249  0.6249  6 Pb 3.27-3.28
Sr  0.2500  0.2500  0.2500  12 Pb 3.84, 4 Ga 4.01
Ga  0.0000  0.0000  0.0000  12 Pb 3.84, 4 Sr 4.01


No. 9
Computed, not measured: HoThHg4 after structural relaxation at the PBE-GGA level of DFT.

Formation energy in eV per atom: -0.312
Crystal system: monoclinic
E above lowest polymorph in eV per atom: 0.0000

a = 3.4041 Å, b = 5.0128 Å, c = 9.3473 Å
α = 90.00°, β = 111.26°, γ = 90.00°
Closest atoms and distances in Å follow each position.
Sites, in units of the cell vectors:
Ho  0.0014  0.9973  0.4982  12 Hg 3.33-3.35, 2 Ho 3.40
Th  0.5014  0.4973  0.9981  12 Hg 3.37-3.40, 2 Th 3.40
Hg  0.1754  0.9973  0.1699  3 Hg 2.89-2.99
Hg  0.8273  0.9973  0.8264  3 Hg 2.89-2.99
Hg  0.6671  0.4973  0.6605  3 Hg 2.83-2.89
Hg  0.3352  0.4973  0.3358  3 Hg 2.83-2.89


No. 10
Computed, not measured: LaSbW2 after structural relaxation at the PBE-GGA level of DFT.

Crystal system: tetragonal
Raw formation energy in kcal/mol of atoms: 3.163

a = 3.3232 Å, b = 3.3232 Å, c = 7.9330 Å
α = 90.00°, β = 90.00°, γ = 90.00°
Closest atoms and distances in Å follow each position.
Sites, in units of the cell vectors:
La  0.0000  0.0000  0.4738  5 W 3.22-3.56, 4 La 3.32, 4 Sb 3.53
Sb  0.5000  0.5000  0.8051  5 W 2.93-3.10
W  0.0000  0.0000  0.0254  4 W 2.71, 4 Sb 2.93
W  0.5000  0.5000  0.1958  4 W 2.71


No. 11
Computed, not measured: AlCuAs2 after structural relaxation at the PBE-GGA level of DFT.

Formation energy in eV per atom: 0.324
Crystal system: cubic

a = 4.5675 Å, b = 4.5675 Å, c = 4.5675 Å
α = 60.00°, β = 60.00°, γ = 60.00°
Closest atoms and distances in Å follow each position.
Sites, in units of the cell vectors:
As  0.0000  0.0000  0.0000  4 As 2.80, 4 Cu 2.80
As  0.2500  0.2500  0.2500  4 Al 2.80, 4 As 2.80
Al  0.5000  0.5000  0.5000  4 Cu 2.80, 4 As 2.80
Cu  0.7500  0.7500  0.7500  4 As 2.80, 4 Al 2.80


No. 12
Computed, not measured: NaNbZn after structural relaxation at the PBE-GGA level of DFT.

Formation energy in eV per atom: 0.288
Crystal system: hexagonal
E above lowest polymorph in eV per atom: 0.1878

a = 4.5893 Å, b = 7.8822 Å, c = 4.5856 Å
α = 106.91°, β = 59.97°, γ = 125.59°
Closest atoms and distances in Å follow each position.
Sites, in units of the cell vectors:
Na  0.7488  0.0296  0.7768  3 Na 2.65
Na  0.0824  0.0297  0.1097  3 Na 2.65
Zn  0.1169  0.7308  0.4428  1 Zn 2.58
Zn  0.7145  0.3286  0.4436  1 Zn 2.58
Nb  0.2490  0.5297  0.7766  3 Nb 2.65, 6 Zn 2.94-2.95
Nb  0.5823  0.5297  0.1099  3 Nb 2.65, 6 Zn 2.94-2.95


V values (in Å³/cell) by entry order: 306.36, 188.06, 232.16, 236.08, 98.94, 169.50, 311.28, 198.94, 148.65, 87.61, 67.38, 116.78.